A geometry-optimized La2MgGa12Co3 structure. Source: the Alexandria database, functional PBE. Values from VASP.

Calculated values
**Total DFT energy (no corrections)**: -3.85 eV per atom
**Space-group type**: R-3m

The structure in Quantum ESPRESSO input format:
```
&SYSTEM
  ibrav = 0, nat = 18, ntyp = 4
/
ATOMIC_SPECIES
Ga 69.72 Ga.upf
Co 58.93 Co.upf
La 138.91 La.upf
Mg 24.30 Mg.upf
CELL_PARAMETERS angstrom
7.9511 -0.4267 -0.3027
3.5556 7.1246 -0.3027
3.5556 2.0697 6.8241
ATOMIC_POSITIONS angstrom
Ga 6.4550 7.0248 1.5205
Ga 11.3422 4.2756 5.4978
Co 3.9756 -0.2134 -0.1513
Ga 5.7663 6.6239 4.6983
Ga 3.7202 4.4920 0.7210
Ga 9.2961 2.1437 1.5205
La 6.1177 3.5610 2.5258
Ga 8.6075 5.0103 0.0916
Ga 9.3192 7.7511 5.4978
Ga 6.4550 3.7573 6.1271
Ga 8.6075 1.7428 4.6983
Ga 3.7202 2.1654 4.0010
Co 1.7778 3.5623 -0.1513
Mg 0.0000 0.0000 0.0000
Ga 5.7432 1.0165 0.7210
La 8.9447 5.2065 3.6929
Co 1.7778 1.0348 3.4120
Ga 11.3422 6.6021 2.2177
```



A geometry-optimized Ba6Au5Cl structure. Source: the Alexandria database, functional PBE. Values from VASP.

Calculated values
**Total DFT energy (no corrections)**: -3.38 eV per atom
**Space-group type**: C2/m

The structure in Quantum ESPRESSO input format:
```
&SYSTEM
  ibrav = 0, nat = 12, ntyp = 3
/
ATOMIC_SPECIES
Ba 137.33 Ba.upf
Au 196.97 Au.upf
Cl 35.45 Cl.upf
CELL_PARAMETERS angstrom
8.1352 0.1967 1.2350
1.9971 6.9036 4.0242
0.1358 0.0751 8.2332
ATOMIC_POSITIONS angstrom
Ba 3.9821 6.4196 9.4434
Ba 3.2622 4.0582 5.4222
Au 1.4223 4.6539 8.1690
Ba 2.5573 1.8100 1.3371
Au 5.7820 5.8954 6.6804
Au 5.0662 3.5502 2.6296
Au 0.7106 2.3249 4.0884
Ba 6.2860 0.7559 4.0490
Au 4.4861 1.2800 6.8120
Ba 7.5750 5.2904 3.9221
Ba 7.0059 3.1172 8.0702
Cl 0.0000 0.0000 0.0000
```



A geometry-optimized RbTcAgS2 structure. Source: the Alexandria database, functional PBE. Values from VASP.

Calculated values
**Total DFT energy (no corrections)**: -3.37 eV per atom
**Space-group type**: P4/mmm

The structure in Quantum ESPRESSO input format:
```
&SYSTEM
  ibrav = 0, nat = 5, ntyp = 4
/
ATOMIC_SPECIES
S 32.06 S.upf
Rb 85.47 Rb.upf
Tc 98.00 Tc.upf
Ag 107.87 Ag.upf
CELL_PARAMETERS angstrom
4.9613 0.0000 0.0000
0.0000 5.2979 0.0000
0.0000 0.0000 4.9613
ATOMIC_POSITIONS angstrom
S 0.0000 0.0000 2.4807
Rb 0.0000 2.6490 0.0000
S 2.4807 0.0000 0.0000
Tc 2.4807 2.6490 2.4807
Ag 0.0000 0.0000 0.0000
```



A geometry-optimized Pm2CuGePd6 structure. Source: the Alexandria database, functional PBE. Values from VASP.

Calculated values
**Total DFT energy (no corrections)**: -5.46 eV per atom
**Space-group type**: C2/m

The structure in Quantum ESPRESSO input format:
```
&SYSTEM
  ibrav = 0, nat = 10, ntyp = 4
/
ATOMIC_SPECIES
Pd 106.42 Pd.upf
Ge 72.64 Ge.upf
Cu 63.55 Cu.upf
Pm 145.00 Pm.upf
CELL_PARAMETERS angstrom
5.6451 0.0320 -0.0264
-0.0569 8.0481 -1.6821
2.8278 2.8228 3.9888
ATOMIC_POSITIONS angstrom
Pd 2.8147 3.5175 1.5420
Pd 7.0718 4.9192 3.4887
Pd 4.2138 6.0015 -1.2250
Ge 2.7941 4.0401 -0.8542
Pd 5.6012 7.3854 0.7384
Cu 0.0000 0.0000 0.0000
Pm 2.7727 8.2994 0.1329
Pd 1.3442 5.9837 -1.2083
Pd 4.2021 4.9015 3.5054
Pm 5.6433 2.6036 2.1474
```



A geometry-optimized CeAl2GaAu2 structure. Source: the Alexandria database, functional PBE. Values from VASP.

Calculated values
**Total DFT energy (no corrections)**: -3.98 eV per atom
**Space-group type**: P4/mmm

The structure in Quantum ESPRESSO input format:
```
&SYSTEM
  ibrav = 0, nat = 6, ntyp = 4
/
ATOMIC_SPECIES
Al 26.98 Al.upf
Au 196.97 Au.upf
Ce 140.12 Ce.upf
Ga 69.72 Ga.upf
CELL_PARAMETERS angstrom
4.7515 0.0000 0.0000
0.0000 4.7515 0.0000
0.0000 0.0000 5.7945
ATOMIC_POSITIONS angstrom
Al 2.3757 0.0000 0.0000
Au 2.3757 2.3757 4.2704
Au 2.3757 2.3757 1.5241
Al 0.0000 2.3757 0.0000
Ce 0.0000 0.0000 2.8972
Ga 0.0000 0.0000 0.0000
```



A geometry-optimized CaPb3Cl structure. Source: the Alexandria database, functional PBE. Values from VASP.

Calculated values
**Energy above the lowest structure with this stoichiometry**: 460 meV/atom
**Space-group type**: Pm-3m

The structure in Quantum ESPRESSO input format:
```
&SYSTEM
  ibrav = 0, nat = 5, ntyp = 3
/
ATOMIC_SPECIES
Pb 207.20 Pb.upf
Ca 40.08 Ca.upf
Cl 35.45 Cl.upf
CELL_PARAMETERS angstrom
5.9976 0.0000 0.0000
0.0000 5.9976 0.0000
0.0000 0.0000 5.9976
ATOMIC_POSITIONS angstrom
Pb 2.9988 0.0000 0.0000
Ca 0.0000 0.0000 0.0000
Pb 0.0000 2.9988 0.0000
Pb 0.0000 0.0000 2.9988
Cl 2.9988 2.9988 2.9988
```



A geometry-optimized GeAu2C4 structure. Source: the Alexandria database, functional PBE. Values from VASP.

Calculated values
**Total DFT energy (no corrections)**: -4.46 eV per atom
**Space-group type**: I4/mmm

The structure in Quantum ESPRESSO input format:
```
&SYSTEM
  ibrav = 0, nat = 7, ntyp = 3
/
ATOMIC_SPECIES
Au 196.97 Au.upf
C 12.01 C.upf
Ge 72.64 Ge.upf
CELL_PARAMETERS angstrom
-2.5621 1.7546 -2.7291
0.2342 -3.3683 -2.3855
-5.4292 -2.9593 0.0631
ATOMIC_POSITIONS angstrom
Au -5.4861 -3.2075 -3.1743
Au -2.2709 -1.3655 -1.8772
C 0.1171 -1.6842 -1.1928
C -1.2811 0.8773 -1.3645
C -3.9761 -2.4455 -4.1020
C -3.7810 -2.1275 -0.9495
Ge 0.0000 0.0000 0.0000
```



A geometry-optimized MnTl2Hg structure. Source: the Alexandria database, functional PBE. Values from VASP.

Calculated values
**Energy above the lowest structure with this stoichiometry**: 0 meV/atom
**Space-group type**: P4mm

The structure in Quantum ESPRESSO input format:
```
&SYSTEM
  ibrav = 0, nat = 4, ntyp = 3
/
ATOMIC_SPECIES
Mn 54.94 Mn.upf
Tl 204.38 Tl.upf
Hg 200.59 Hg.upf
CELL_PARAMETERS angstrom
3.3363 -0.0143 0.0000
0.0139 3.3363 0.0000
0.0000 0.0000 8.8071
ATOMIC_POSITIONS angstrom
Mn 1.6751 1.6610 6.4556
Tl 1.6751 1.6610 2.3428
Hg 0.0000 0.0000 4.8390
Tl 0.0000 0.0000 8.3802
```



A geometry-optimized FeRhSe2 structure. Source: the Alexandria database, functional PBE. Values from VASP.

Calculated values
**Total DFT energy (no corrections)**: -5.97 eV per atom
**Space-group type**: Pm

The structure in Quantum ESPRESSO input format:
```
&SYSTEM
  ibrav = 0, nat = 4, ntyp = 3
/
ATOMIC_SPECIES
Fe 55.84 Fe.upf
Se 78.96 Se.upf
Rh 102.91 Rh.upf
CELL_PARAMETERS angstrom
3.8439 0.0000 0.0000
0.0000 3.8330 -0.2560
0.0000 0.3944 5.6564
ATOMIC_POSITIONS angstrom
Fe 0.0000 1.6839 3.4385
Se 1.9219 1.5892 2.0268
Rh 1.9219 3.6000 3.3119
Se 0.0000 3.6954 4.7236
```



A geometry-optimized SbRhI2O structure. Source: the Alexandria database, functional PBE. Values from VASP.

Calculated values
**Energy above the lowest structure with this stoichiometry**: 0 meV/atom
**Space-group type**: P4/mmm

The structure in Quantum ESPRESSO input format:
```
&SYSTEM
  ibrav = 0, nat = 5, ntyp = 4
/
ATOMIC_SPECIES
I 126.90 I.upf
O 16.00 O.upf
Rh 102.91 Rh.upf
Sb 121.76 Sb.upf
CELL_PARAMETERS angstrom
5.7447 0.0000 0.0000
0.0000 5.7447 0.0000
0.0000 0.0000 3.7482
ATOMIC_POSITIONS angstrom
I 0.0000 2.8724 0.0000
O 0.0000 0.0000 1.8741
I 2.8724 0.0000 0.0000
Rh 0.0000 0.0000 0.0000
Sb 2.8724 2.8724 1.8741
```



A geometry-optimized AlTeAs3 structure. Source: the Alexandria database, functional PBE. Values from VASP.

Calculated values
**Energy above the lowest structure with this stoichiometry**: 558 meV/atom
**Space-group type**: Pm-3m

The structure in Quantum ESPRESSO input format:
```
&SYSTEM
  ibrav = 0, nat = 5, ntyp = 3
/
ATOMIC_SPECIES
As 74.92 As.upf
Al 26.98 Al.upf
Te 127.60 Te.upf
CELL_PARAMETERS angstrom
5.3219 0.0000 0.0000
0.0000 5.3219 0.0000
0.0000 0.0000 5.3219
ATOMIC_POSITIONS angstrom
As 0.0000 2.6609 0.0000
As 2.6609 0.0000 0.0000
Al 2.6609 2.6609 2.6609
As 0.0000 0.0000 2.6609
Te 0.0000 0.0000 0.0000
```



A geometry-optimized Nd2YGe structure. Source: the Alexandria database, functional PBE. Values from VASP.

Calculated values
**Energy above the lowest structure with this stoichiometry**: 0 meV/atom
**Space-group type**: P4/mmm

The structure in Quantum ESPRESSO input format:
```
&SYSTEM
  ibrav = 0, nat = 4, ntyp = 3
/
ATOMIC_SPECIES
Nd 144.24 Nd.upf
Y 88.91 Y.upf
Ge 72.64 Ge.upf
CELL_PARAMETERS angstrom
4.8727 0.0000 0.0000
0.0000 4.7343 0.0000
0.0000 0.0000 4.7343
ATOMIC_POSITIONS angstrom
Nd 0.0000 2.3672 0.0000
Nd 0.0000 0.0000 2.3672
Y 2.4363 0.0000 0.0000
Ge 2.4363 2.3672 2.3672
```



A geometry-optimized CoS2 structure. Source: the Alexandria database, functional PBE. Values from VASP.

Calculated values
**Total DFT energy (no corrections)**: -5.16 eV per atom
**Space-group type**: I-42d

The structure in Quantum ESPRESSO input format:
```
&SYSTEM
  ibrav = 0, nat = 6, ntyp = 2
/
ATOMIC_SPECIES
S 32.06 S.upf
Co 58.93 Co.upf
CELL_PARAMETERS angstrom
-3.8453 -4.1101 -1.9561
-3.7684 -0.8902 4.5290
1.6563 5.1189 -2.5611
ATOMIC_POSITIONS angstrom
S -1.1167 4.0197 0.1549
S -1.9663 0.5627 -0.3723
Co -2.9980 -0.7457 -1.6154
S -5.8947 -1.6942 1.0273
Co 0.0000 0.0000 0.0000
S -2.9374 -2.6511 -0.7864
```



In order of appearance, total magnetic moment = 0.0; 0.0; 4.3; 0.0; 1.3; 0.0; 0.0; 3.8; 0.0; 0.0; 0.0; 0.0; 0.0 Bohr magnetons per cell.